No. 1
BaRh: PBEsol geometry, SCAN.

Results
**Energy of formation from the pure elements**: 0.4283 eV/atom
**Theoretical density**: 7.485 Mg/m³

abc: 3.7462 3.7462 4.3851
angles: 90.00 90.00 120.00
Closest atoms and distances in Å follow each position.
Fractional coordinates of all 2 atoms:
Ba 0.0000 0.0000 0.0000  6 Rh 3.08
Rh 0.3333 0.6667 0.5000  6 Ba 3.08

=====

No. 2
Ba2Rh: PBEsol geometry, SCAN.

Results
**Energy of formation from the pure elements**: -0.1179 eV/atom
**Theoretical density**: 5.786 Mg/m³

abc: 7.5679 7.5679 7.5679
angles: 90.00 90.00 90.00
Closest atoms and distances in Å follow each position.
Fractional coordinates of all 12 atoms:
Ba 0.1784 0.6784 0.8216  3 Rh 3.09
Ba 0.8216 0.3216 0.1784  3 Rh 3.09
Ba 0.6784 0.8216 0.1784  3 Rh 3.09
Ba 0.3216 0.1784 0.8216  3 Rh 3.09
Ba 0.8216 0.1784 0.6784  3 Rh 3.09
Ba 0.1784 0.8216 0.3216  3 Rh 3.09
Ba 0.3216 0.3216 0.3216  3 Rh 3.09
Ba 0.6784 0.6784 0.6784  3 Rh 3.09
Rh 0.5000 0.0000 0.5000  6 Ba 3.09
Rh 0.0000 0.5000 0.5000  6 Ba 3.09
Rh 0.0000 0.0000 0.0000  6 Ba 3.09
Rh 0.5000 0.5000 0.0000  6 Ba 3.09

=====

No. 3
BaRh2: PBEsol geometry, SCAN.

Results
**Energy of formation from the pure elements**: -0.0800 eV/atom
**Theoretical density**: 9.601 Mg/m³

abc: 5.5163 5.5163 5.5163
angles: 60.00 60.00 60.00
Closest atoms and distances in Å follow each position.
Fractional coordinates of all 6 atoms:
Ba 0.5000 0.5000 0.5000  12 Rh 3.23, 4 Ba 3.38
Ba 0.7500 0.7500 0.7500  12 Rh 3.23, 4 Ba 3.38
Rh 0.1250 0.1250 0.1250  6 Rh 2.76
Rh 0.1250 0.1250 0.6250  6 Rh 2.76
Rh 0.1250 0.6250 0.1250  6 Rh 2.76
Rh 0.6250 0.1250 0.1250  6 Rh 2.76

=====

No. 4
Ba2Rh: PBEsol geometry, SCAN.

Results
**Energy of formation from the pure elements**: -0.1290 eV/atom
**Theoretical density**: 5.359 Mg/m³

abc: 4.5900 7.1131 7.1668
angles: 90.00 90.00 90.00
Closest atoms and distances in Å follow each position.
Fractional coordinates of all 6 atoms:
Rh 0.0000 0.0000 0.0000  6 Ba 3.05-3.09
Rh 0.5000 0.5000 0.5000  6 Ba 3.05-3.09
Ba 0.0000 0.2704 0.6634  3 Rh 3.05-3.09
Ba 0.0000 0.7296 0.3366  3 Rh 3.05-3.09
Ba 0.5000 0.7704 0.8366  3 Rh 3.05-3.09
Ba 0.5000 0.2296 0.1634  3 Rh 3.05-3.09

=====

No. 5
Ba2Rh: PBEsol geometry, SCAN.

Results
**Energy of formation from the pure elements**: -0.0764 eV/atom
**Theoretical density**: 5.711 Mg/m³

abc: 3.7886 3.7886 8.1044
angles: 103.52 103.52 90.00
Closest atoms and distances in Å follow each position.
Fractional coordinates of all 3 atoms:
Rh 0.5000 0.5000 0.0000  8 Ba 3.20
Ba 0.8854 0.8854 0.7707  4 Rh 3.20, 1 Ba 3.51
Ba 0.1146 0.1146 0.2293  4 Rh 3.20, 1 Ba 3.51

=====

No. 6
BaRh: PBEsol geometry, SCAN.

Results
**Energy of formation from the pure elements**: 0.1422 eV/atom
**Theoretical density**: 6.851 Mg/m³

abc: 3.6382 3.6382 8.7987
angles: 90.00 90.00 90.00
Closest atoms and distances in Å follow each position.
Fractional coordinates of all 4 atoms:
Ba 0.5000 0.0000 0.7778  1 Rh 2.79
Ba 0.0000 0.5000 0.2222  1 Rh 2.79
Rh 0.5000 0.0000 0.4606  4 Rh 2.66, 1 Ba 2.79
Rh 0.0000 0.5000 0.5394  4 Rh 2.66, 1 Ba 2.79

=====

No. 7
Ba5Rh: PBEsol geometry, SCAN.

Results
**Energy of formation from the pure elements**: 0.1039 eV/atom
**Theoretical density**: 4.749 Mg/m³
**Energy above the most stable polymorph in this dataset**: 113 meV/atom

abc: 4.3580 6.4247 10.0970
angles: 90.00 102.46 90.00
Closest atoms and distances in Å follow each position.
Fractional coordinates of all 6 atoms:
Ba 0.9960 0.0000 0.9920  8 Ba 3.65-4.00, 2 Rh 4.03
Ba 0.3258 0.0000 0.6516  10 Ba 4.00-4.36
Ba 0.6445 0.0000 0.2890  4 Ba 3.63-3.65, 4 Rh 3.91
Ba 0.5173 0.5000 0.0346  2 Rh 2.97
Ba 0.7304 0.5000 0.4608  2 Rh 3.09
Rh 0.1194 0.5000 0.2388  4 Ba 2.97-3.09

=====

No. 8
Ba2Rh: PBEsol geometry, SCAN.

Results
**Energy of formation from the pure elements**: -0.1268 eV/atom
**Theoretical density**: 5.131 Mg/m³

abc: 4.4353 4.4353 7.1718
angles: 90.00 90.00 120.00
Closest atoms and distances in Å follow each position.
Fractional coordinates of all 3 atoms:
Rh 0.0000 0.0000 0.0000  6 Ba 3.03
Ba 0.3333 0.6667 0.2264  3 Rh 3.03
Ba 0.6667 0.3333 0.7736  3 Rh 3.03

=====

No. 9
Ba2Rh: PBEsol geometry, SCAN.

Results
**Energy of formation from the pure elements**: -0.0925 eV/atom
**Theoretical density**: 6.063 Mg/m³

abc: 4.2178 6.9961 7.3530
angles: 91.52 90.00 107.54
Closest atoms and distances in Å follow each position.
Fractional coordinates of all 6 atoms:
Rh 0.9732 0.9463 0.4804  6 Ba 2.99-3.18
Rh 0.7490 0.4980 0.9640  6 Ba 2.99-3.18
Ba 0.0903 0.1806 0.9671  2 Rh 2.99
Ba 0.6320 0.2640 0.4774  2 Rh 2.99
Ba 0.3611 0.7223 0.7222  4 Rh 3.16
Ba 0.3611 0.7223 0.2222  4 Rh 3.18

=====

No. 10
Ba2Rh: PBEsol geometry, SCAN.

Results
**Energy of formation from the pure elements**: -0.1121 eV/atom
**Theoretical density**: 6.524 Mg/m³

abc: 4.9657 8.1880 8.1880
angles: 120.00 90.00 90.00
Closest atoms and distances in Å follow each position.
Fractional coordinates of all 9 atoms:
Ba 0.0000 0.7358 0.7358  4 Rh 3.05-3.29
Ba 0.0000 0.0000 0.2642  4 Rh 3.05-3.29
Ba 0.0000 0.2642 0.0000  4 Rh 3.05-3.29
Ba 0.5000 0.4096 0.4096  5 Rh 3.35-3.51, 2 Ba 3.65
Ba 0.5000 0.0000 0.5904  5 Rh 3.35-3.51, 2 Ba 3.65
Ba 0.5000 0.5904 0.0000  5 Rh 3.35-3.51, 2 Ba 3.65
Rh 0.0000 0.6667 0.3333  3 Ba 3.05
Rh 0.0000 0.3333 0.6667  3 Ba 3.05
Rh 0.5000 0.0000 0.0000  9 Ba 3.29-3.35

=====

No. 11
BaRh: PBEsol geometry, SCAN.

Results
**Energy of formation from the pure elements**: -0.0913 eV/atom
**Theoretical density**: 5.461 Mg/m³

abc: 4.3681 4.4694 7.4835
angles: 90.00 90.00 90.00
Closest atoms and distances in Å follow each position.
Fractional coordinates of all 4 atoms:
Ba 0.0000 0.7500 0.7666  6 Rh 3.08-3.39
Ba 0.0000 0.2500 0.2334  6 Rh 3.08-3.39
Rh 0.5000 0.7500 0.0568  2 Rh 2.39
Rh 0.5000 0.2500 0.9432  2 Rh 2.39

=====

No. 12
Ba5Rh: PBEsol geometry, SCAN.

Results
**Energy of formation from the pure elements**: -0.0094 eV/atom
**Theoretical density**: 4.722 Mg/m³
**Energy above the most stable polymorph in this dataset**: 0 meV/atom

abc: 4.0449 7.4535 10.2783
angles: 69.53 78.65 74.26
Closest atoms and distances in Å follow each position.
Fractional coordinates of all 6 atoms:
Rh 0.0000 0.0000 0.0000  4 Ba 3.04
Ba 0.3886 0.3300 0.8929  2 Rh 3.04
Ba 0.0000 0.5000 0.5000  12 Ba 4.04-4.45
Ba 0.6114 0.6700 0.1071  2 Rh 3.04
Ba 0.6693 0.9369 0.7244  2 Rh 3.58, 2 Ba 3.72-3.73
Ba 0.3307 0.0631 0.2756  2 Rh 3.58, 2 Ba 3.72-3.73